Here is crystalline LaSc2Zn at its relaxed geometry from Alexandria via LeMat-Bulk. Energies are from GGA-PBEsol.

Results
**Calculated volume**: 93.6 Å³ per cell
**Electronic total energy**: -5.047 eV per atom
**Calculated formation energy**: -12.7 meV/atom

Cell and atoms, written as CIF:
```
data_LaSc2Zn
_symmetry_space_group_name_H-M 'P m m m'
_symmetry_Int_Tables_number 47
_symmetry_space_group_name_Hall '-P 2 2'
_cell_length_a 3.544
_cell_length_b 5.024
_cell_length_c 5.254
_cell_angle_alpha 90.00
_cell_angle_beta 90.00
_cell_angle_gamma 90.00
loop_
_atom_site_label
_atom_site_type_symbol
_atom_site_fract_x
_atom_site_fract_y
_atom_site_fract_z
La1 La 0.000 0.000 0.000
Sc1 Sc 0.000 0.500 0.500
Sc2 Sc 0.500 0.500 0.000
Zn1 Zn 0.500 0.000 0.500
```



Here is crystalline LaScZn2 at its relaxed geometry from Alexandria via LeMat-Bulk. Energies are from GGA-PBEsol.

Results
**Calculated volume**: 348.2 Å³ per cell
**Electronic total energy**: -4.046 eV per atom
**Calculated formation energy**: -267.3 meV/atom

Cell and atoms, written as CIF:
```
data_LaScZn2
_symmetry_space_group_name_H-M 'F m -3 m'
_symmetry_Int_Tables_number 225
_symmetry_space_group_name_Hall '-F 4 2 3'
_cell_length_a 7.035
_cell_length_b 7.035
_cell_length_c 7.035
_cell_angle_alpha 90.00
_cell_angle_beta 90.00
_cell_angle_gamma 90.00
loop_
_atom_site_label
_atom_site_type_symbol
_atom_site_fract_x
_atom_site_fract_y
_atom_site_fract_z
La1 La 0.000 0.000 0.000
Sc1 Sc 0.000 0.000 0.500
Zn1 Zn 0.250 0.250 0.250
```



Here is crystalline La2ScZn at its relaxed geometry from Alexandria via LeMat-Bulk. Energies are from GGA-PBEsol.

Results
**Calculated volume**: 211.7 Å³ per cell
**Electronic total energy**: -4.850 eV per atom
**Calculated formation energy**: -130.3 meV/atom

Cell and atoms, written as CIF:
```
data_La2ScZn
_symmetry_space_group_name_H-M 'I m m 2'
_symmetry_Int_Tables_number 44
_symmetry_space_group_name_Hall 'I 2 -2'
_cell_length_a 3.612
_cell_length_b 5.359
_cell_length_c 10.935
_cell_angle_alpha 90.00
_cell_angle_beta 90.00
_cell_angle_gamma 90.00
loop_
_atom_site_label
_atom_site_type_symbol
_atom_site_fract_x
_atom_site_fract_y
_atom_site_fract_z
La1 La 0.000 0.000 0.000
La2 La 0.000 0.500 0.214
Sc1 Sc 0.000 0.000 0.432
Zn1 Zn 0.000 0.500 0.739
```



> electronic total energy of number 1 (LaSc2Zn)?

-5.047 eV per atom



> Among the records above, which one has the lowest electronic total energy?

LaSc2Zn